# 1
PBE Dy4UCo5, optimized geometry; spin magnetization = 0.000 μB per formula unit; symmetry = No. 107; DFT total energy = -6.63 eV per atom; Fermi-level density of states = 5.5 states/eV per cell; calculated volume = 19.470 Å³ per atom
1.0
4.538 0.000 1.610
2.269 6.359 0.805
0.143 0.000 6.798
Co Dy U
5 4 1
Cartesian
2.697 0.000 0.957 Co
3.639 0.000 3.698 Co
3.030 6.358 5.414 Co
2.128 4.090 0.755 Co
4.541 2.269 8.358 Co
1.585 1.836 2.511 Dy
5.226 4.522 6.652 Dy
2.956 1.837 5.847 Dy
3.854 4.522 3.316 Dy
0.369 0.000 0.131 U

---

# 2
PBE DyUCo4, optimized geometry; spin magnetization = 0.000 μB per formula unit; symmetry = No. 12; Fermi-level density of states = 12.5 states/eV per cell; offset from the most stable computed form = 27 meV per atom; calculated volume = 15.370 Å³ per atom
1.0
6.536 0.000 2.027
0.000 6.050 0.000
0.404 -3.025 4.789
Co Dy U
8 2 2
Cartesian
0.000 4.832 0.000 Co
3.075 -1.720 4.638 Co
1.850 3.025 3.011 Co
5.091 0.000 3.805 Co
0.000 1.218 0.000 Co
3.866 1.305 2.178 Co
3.866 4.745 2.178 Co
3.075 1.720 4.638 Co
1.438 0.000 2.284 Dy
5.503 3.025 4.532 Dy
1.621 3.025 0.767 U
5.320 0.000 6.049 U

---

# 3
PBE Dy2UCo2, optimized geometry; spin magnetization = 0.000 μB per formula unit; symmetry = No. 15; DFT total energy = -7.16 eV per atom; Fermi-level density of states = 13.0 states/eV per cell; calculated volume = 20.688 Å³ per atom
1.0
5.923 0.164 0.829
2.748 5.249 0.829
0.160 0.100 6.784
Dy Co U
4 4 2
Cartesian
3.386 1.365 1.558 Dy
6.037 3.020 3.492 Dy
5.445 4.148 6.884 Dy
2.794 2.493 4.950 Dy
1.011 1.529 6.923 Co
1.738 0.187 3.531 Co
7.093 5.326 4.911 Co
7.820 3.984 1.520 Co
3.011 4.917 2.525 U
5.820 0.596 5.917 U

---

# 4
PBE DyUCo4, optimized geometry; spin magnetization = 0.104 μB per formula unit; symmetry = No. 216; Fermi-level density of states = 9.8 states/eV per cell; offset from the most stable computed form = 0 meV per atom; calculated volume = 14.492 Å³ per atom
1.0
4.973 0.000 0.000
2.486 4.307 0.000
2.486 1.436 4.060
Dy U Co
1 1 4
Cartesian
0.000 0.000 0.000 Dy
2.486 1.436 1.015 U
3.733 3.587 2.536 Co
4.973 2.871 0.512 Co
6.213 3.587 2.536 Co
4.973 1.439 2.536 Co

---

# 5
PBE Dy2V2Co15, optimized geometry; spin magnetization = 18.230 μB per formula unit; symmetry = No. 166; DFT total energy = -7.18 eV per atom; Fermi-level density of states = 23.0 states/eV per cell; calculated volume = 12.774 Å³ per atom
1.0
-5.653 0.446 2.707
1.632 -2.318 5.607
0.943 5.505 2.879
Co Dy V
15 2 2
Cartesian
-3.520 -0.363 3.556 Co
0.832 2.152 5.962 Co
-3.910 1.480 5.232 Co
-0.501 -1.509 4.758 Co
-2.836 3.544 4.502 Co
-2.489 -0.394 5.875 Co
-0.243 0.089 6.692 Co
1.430 -0.028 4.809 Co
0.471 2.752 1.440 Co
-3.722 1.927 2.758 Co
-2.826 0.223 1.354 Co
-0.988 4.024 2.829 Co
-0.589 4.027 5.319 Co
0.816 -1.159 2.804 Co
1.144 3.214 3.678 Co
-2.008 2.370 7.303 Dy
-1.070 1.263 3.891 Dy
-0.296 0.349 1.076 V
-2.782 3.283 10.118 V

---

# 6
PBE DyYCo, optimized geometry; spin magnetization = 0.000 μB per formula unit; symmetry = No. 11; Fermi-level density of states = 7.1 states/eV per cell; offset from the most stable computed form = 0 meV per atom; calculated volume = 25.120 Å³ per atom
1.0
-1.795 -3.272 -0.299
4.987 -2.704 -0.350
-0.666 -0.283 7.101
Y Co Dy
2 2 2
Cartesian
2.246 -4.835 4.262 Y
0.279 -1.424 2.190 Y
-0.717 -2.820 0.003 Co
3.243 -3.439 6.449 Co
0.690 -1.972 5.718 Dy
1.835 -4.287 0.734 Dy

---

# 7
PBE DyY6Co3, optimized geometry; spin magnetization = 0.000 μB per formula unit; symmetry = No. 36; DFT total energy = -6.51 eV per atom; Fermi-level density of states = 20.0 states/eV per cell; calculated volume = 25.656 Å³ per atom
1.0
-6.335 -1.518 -3.229
4.114 -3.700 -6.332
-0.581 -7.095 4.477
Dy Y Co
2 12 6
Cartesian
0.585 -6.094 0.877 Dy
-0.870 -5.616 -4.678 Dy
2.228 -4.907 -2.901 Y
-2.494 -3.903 -2.317 Y
-0.968 -8.566 -3.118 Y
2.194 -7.810 -1.492 Y
1.940 -7.689 -5.052 Y
0.668 -3.148 -0.690 Y
-5.608 -8.265 1.717 Y
-5.336 -4.767 -0.335 Y
2.115 -4.213 -7.154 Y
-2.511 -6.802 -0.899 Y
0.180 -2.310 -4.127 Y
-3.576 -10.146 -1.260 Y
-2.963 -8.604 1.029 Co
-3.314 -6.617 -3.505 Co
-0.138 -5.852 -1.910 Co
-3.725 -6.277 1.429 Co
3.591 -5.397 -5.153 Co
2.829 -3.069 -4.753 Co

---

# 8
PBE Dy2Y3Co2, optimized geometry; spin magnetization = 0.000 μB per formula unit; symmetry = No. 12; DFT total energy = -6.27 eV per atom; Fermi-level density of states = 7.6 states/eV per cell; calculated volume = 25.094 Å³ per atom
1.0
3.648 0.000 0.000
-1.824 6.001 -0.416
0.000 -3.309 8.253
Co Dy Y
2 2 3
Cartesian
1.824 1.329 6.002 Co
0.000 1.364 1.835 Co
1.824 3.273 1.337 Dy
0.000 -0.580 6.500 Dy
0.000 2.694 4.419 Y
1.824 -0.002 3.417 Y
1.824 0.000 0.000 Y

---

# 9
PBE Dy3YCo, optimized geometry; spin magnetization = 0.352 μB per formula unit; symmetry = No. 12; Fermi-level density of states = 10.6 states/eV per cell; offset from the most stable computed form = 0 meV per atom; calculated volume = 27.948 Å³ per atom
1.0
6.607 -0.125 -2.672
-3.340 5.869 -2.281
0.188 0.111 7.138
Co Dy Y
2 6 2
Cartesian
1.706 4.356 -0.708 Co
1.749 1.499 2.892 Co
3.182 2.590 -1.783 Dy
3.285 3.190 1.773 Dy
0.273 3.266 3.967 Dy
-1.997 5.645 2.437 Dy
0.170 2.666 0.411 Dy
5.452 0.211 -0.253 Dy
-1.197 5.577 -1.207 Y
4.652 0.278 3.391 Y

---

# 10
PBE DyYCo, optimized geometry; spin magnetization = 0.000 μB per formula unit; symmetry = No. 156; Fermi-level density of states = 2.8 states/eV per cell; offset from the most stable computed form = 86 meV per atom; calculated volume = 26.785 Å³ per atom
1.0
-2.753 2.134 1.665
-0.574 -3.771 -0.591
2.421 -1.245 5.600
Y Co Dy
1 1 1
Cartesian
0.241 -0.124 0.557 Y
-1.214 -0.253 2.791 Co
0.068 -2.507 3.325 Dy

---

# 11
PBE DyYCo2, optimized geometry; spin magnetization = 0.285 μB per formula unit; symmetry = No. 26; Fermi-level density of states = 8.6 states/eV per cell; offset from the most stable computed form = 0 meV per atom; calculated volume = 20.151 Å³ per atom
1.0
3.868 0.000 0.000
0.000 5.545 0.000
0.000 0.000 7.517
Dy Co Y
2 4 2
Cartesian
1.934 2.031 2.417 Dy
1.934 3.514 6.176 Dy
1.934 4.684 3.560 Co
1.934 0.861 7.318 Co
0.000 1.943 0.205 Co
0.000 3.602 3.963 Co
0.000 0.743 5.094 Y
0.000 4.802 1.335 Y

---

Q: What is the calculated volume in the ninth record?
A: 27.948 Å³ per atom